1.
## NaNbPCl2 (GGA-PBE)

Data for an optimized crystal structure of NaNbPCl2.

formation energy without anion corrections = -0.68 eV/atom
final energy = -4.78 eV/atom
energy above the lowest structure with this stoichiometry = 0.00 eV/f.u.
size of the total moment = 0.2 Bohr magnetons per cell

abc: 5.006 5.006 4.866
angles: 90.00 90.00 90.00
Space group P4/mmm (No. 123)
Inequivalent atoms, fractional coordinates:
Na  0.000  0.000  0.000 x1
Nb  0.500  0.500  0.500 x1
P  0.500  0.500  0.000 x1
Cl  0.000  0.500  0.500 x2



2.
## RbNaNbCl6 (GGA-PBE)

Data for an optimized crystal structure of RbNaNbCl6.

formation energy without anion corrections = -1.54 eV/atom
final energy = -4.14 eV/atom
size of the total moment = 2.0 Bohr magnetons per cell

abc: 7.0208 7.0208 14.0661
angles: 90.00 90.00 120.00
Space group P-31c (No. 163)
Inequivalent atoms, fractional coordinates:
Rb  0.0000  0.0000  0.0000 x2
Na  0.3333  0.6667  0.2500 x2
Nb  0.3333  0.6667  0.7500 x2
Cl  0.0420  0.3914  0.6492 x12



3.
## RbNa2NbCl8 (GGA-PBE)

Data for an optimized crystal structure of RbNa2NbCl8.

formation energy without anion corrections = -1.50 eV/atom
final energy = -3.87 eV/atom
size of the total moment = 0.0 Bohr magnetons per cell

abc: 5.792 7.569 10.216
angles: 69.95 78.96 88.75
Space group P-1 (No. 2)
Inequivalent atoms, fractional coordinates:
Rb  0.000  0.000  0.000 x1
Na  0.435  0.466  0.184 x2
Nb  0.000  0.500  0.500 x1
Cl  0.132  0.489  0.714 x2
Cl  0.247  0.253  0.477 x2
Cl  0.299  0.728  0.355 x2
Cl  0.488  0.226  0.046 x2



4.
## Rb2NaNbCl6 (GGA-PBE)

Data for an optimized crystal structure of Rb2NaNbCl6.

formation energy without anion corrections = -1.61 eV/atom
final energy = -4.05 eV/atom
size of the total moment = 12.0 Bohr magnetons per cell

abc: 7.3623 7.3623 38.4092
angles: 90.00 90.00 120.00
Space group R-3m (No. 166, hexagonal axes)
Inequivalent atoms, fractional coordinates:
Rb  0.0000  0.0000  0.1310 x6
Rb  0.0000  0.0000  0.2972 x6
Na  0.0000  0.0000  0.4127 x6
Nb  0.0000  0.0000  0.0000 x3
Nb  0.0000  0.0000  0.5000 x3
Cl  0.0115  0.5058  0.1289 x18
Cl  0.0135  0.5068  0.7045 x18



5.
## NaNbSCl2 (GGA-PBE)

Data for an optimized crystal structure of NaNbSCl2.

formation energy without anion corrections = 0.23 eV/atom
final energy = -3.61 eV/atom
energy above the lowest structure with this stoichiometry = 6.00 eV/f.u.
size of the total moment = 2.0 Bohr magnetons per cell

abc: 4.686 4.686 5.177
angles: 90.00 90.00 90.00
Space group P4/mmm (No. 123)
Inequivalent atoms, fractional coordinates:
Na  0.000  0.000  0.000 x1
Nb  0.500  0.500  0.500 x1
S  0.000  0.000  0.500 x1
Cl  0.000  0.500  0.000 x2



6.
## NaNbSCl2 (GGA-PBE)

Data for an optimized crystal structure of NaNbSCl2.

formation energy without anion corrections = -0.97 eV/atom
final energy = -4.81 eV/atom
energy above the lowest structure with this stoichiometry = 0.00 eV/f.u.
size of the total moment = 1.6 Bohr magnetons per cell

abc: 5.101 5.101 4.789
angles: 90.00 90.00 90.00
Space group P4/mmm (No. 123)
Inequivalent atoms, fractional coordinates:
Na  0.000  0.000  0.000 x1
Nb  0.500  0.500  0.500 x1
S  0.500  0.500  0.000 x1
Cl  0.000  0.500  0.500 x2



7.
## NaNbS2Cl (GGA-PBE)

Data for an optimized crystal structure of NaNbS2Cl.

formation energy without anion corrections = -0.92 eV/atom
final energy = -5.22 eV/atom
energy above the lowest structure with this stoichiometry = 0.00 eV/f.u.
size of the total moment = 0.0 Bohr magnetons per cell

abc: 4.834 4.834 5.011
angles: 90.00 90.00 90.00
Space group P4/mmm (No. 123)
Inequivalent atoms, fractional coordinates:
Na  0.000  0.000  0.000 x1
Nb  0.500  0.500  0.500 x1
S  0.000  0.500  0.500 x2
Cl  0.500  0.500  0.000 x1



8.
## NaNbS2Cl (GGA-PBE)

Data for an optimized crystal structure of NaNbS2Cl.

formation energy without anion corrections = 0.61 eV/atom
final energy = -3.68 eV/atom
energy above the lowest structure with this stoichiometry = 7.69 eV/f.u.
size of the total moment = 1.0 Bohr magnetons per cell

abc: 4.856 4.856 4.647
angles: 90.00 90.00 90.00
Space group P4/mmm (No. 123)
Inequivalent atoms, fractional coordinates:
Na  0.000  0.000  0.000 x1
Nb  0.500  0.500  0.500 x1
S  0.000  0.500  0.000 x2
Cl  0.000  0.000  0.500 x1



9.
## Na5NbS4Cl2 (GGA-PBE)

Data for an optimized crystal structure of Na5NbS4Cl2.

formation energy without anion corrections = -1.32 eV/atom
final energy = -4.39 eV/atom
size of the total moment = 0.0 Bohr magnetons per cell

abc: 8.110 11.375 6.835
angles: 90.00 90.00 90.00
Space group Amm2 (No. 38)
Inequivalent atoms, fractional coordinates:
Na  0.000  0.000  0.000 x2
Na  0.252  0.195  0.513 x8
Nb  0.500  0.000  0.040 x2
S  0.273  0.000  0.240 x4
S  0.500  0.162  0.837 x4
Cl  0.000  0.194  0.780 x4



10.
## Na2NbSeCl (GGA-PBE)

Data for an optimized crystal structure of Na2NbSeCl.

formation energy without anion corrections = -0.24 eV/atom
final energy = -3.84 eV/atom
size of the total moment = 3.9 Bohr magnetons per cell

abc: 5.649 5.649 5.016
angles: 90.00 90.00 90.00
Space group P4/mmm (No. 123)
Inequivalent atoms, fractional coordinates:
Na  0.000  0.500  0.000 x2
Nb  0.000  0.000  0.500 x1
Se  0.000  0.000  0.000 x1
Cl  0.500  0.500  0.500 x1



11.
## NaNbSnCl2 (GGA-PBE)

Data for an optimized crystal structure of NaNbSnCl2.

formation energy without anion corrections = 0.64 eV/atom
final energy = -3.17 eV/atom
size of the total moment = 4.0 Bohr magnetons per cell

abc: 5.472 5.472 6.142
angles: 90.00 90.00 90.00
Space group P4/mmm (No. 123)
Inequivalent atoms, fractional coordinates:
Na  0.000  0.000  0.000 x1
Nb  0.500  0.500  0.000 x1
Sn  0.000  0.000  0.500 x1
Cl  0.000  0.500  0.500 x2



12.
## NaNb2SnCl (GGA-PBE)

Data for an optimized crystal structure of NaNb2SnCl.

formation energy without anion corrections = 1.50 eV/atom
final energy = -3.97 eV/atom
size of the total moment = 0.0 Bohr magnetons per cell

abc: 5.093 5.093 4.408
angles: 90.00 90.00 90.00
Space group P4/mmm (No. 123)
Inequivalent atoms, fractional coordinates:
Na  0.000  0.000  0.000 x1
Nb  0.000  0.500  0.000 x2
Sn  0.500  0.500  0.500 x1
Cl  0.000  0.000  0.500 x1



13.
## NaTiNb2Cl (GGA-PBE)

Data for an optimized crystal structure of NaTiNb2Cl.

formation energy without anion corrections = 0.94 eV/atom
final energy = -5.30 eV/atom
size of the total moment = 0.0 Bohr magnetons per cell

abc: 4.755 4.755 5.404
angles: 90.00 90.00 90.00
Space group P4/mmm (No. 123)
Inequivalent atoms, fractional coordinates:
Na  0.000  0.000  0.000 x1
Ti  0.500  0.500  0.500 x1
Nb  0.000  0.500  0.500 x2
Cl  0.500  0.500  0.000 x1



14.
## Na2NdCl4 (GGA-PBE)

Data for an optimized crystal structure of Na2NdCl4.

formation energy without anion corrections = -1.85 eV/atom
final energy = -3.96 eV/atom
size of the total moment = 0.9 Bohr magnetons per cell

abc: 7.326 8.600 12.568
angles: 90.00 90.00 90.00
Space group Imma (No. 74)
Inequivalent atoms, fractional coordinates:
Na  0.000  0.000  0.000 x4
Na  0.000  0.250  0.372 x4
Nd  0.250  0.250  0.750 x4
Cl  0.000  0.010  0.230 x8
Cl  0.245  0.250  0.974 x8



15.
## NaNdCl4 (GGA-PBE)

Data for an optimized crystal structure of NaNdCl4.

formation energy without anion corrections = -2.08 eV/atom
final energy = -4.32 eV/atom
energy above the lowest structure with this stoichiometry = 0.17 eV/f.u.
size of the total moment = 0.0 Bohr magnetons per cell

abc: 7.126 6.897 7.064
angles: 90.00 96.94 90.00
Space group P2_1/c (No. 14)
Inequivalent atoms, fractional coordinates:
Na  0.000  0.000  0.000 x2
Nd  0.500  0.000  0.500 x2
Cl  0.166  0.159  0.355 x4
Cl  0.357  0.663  0.316 x4



16.
## Na2NdCl6 (GGA-PBE)

Data for an optimized crystal structure of Na2NdCl6.

formation energy without anion corrections = -1.68 eV/atom
final energy = -3.74 eV/atom
size of the total moment = 2.1 Bohr magnetons per cell

abc: 14.753 4.868 9.081
angles: 90.00 125.07 90.00
Space group C2/m (No. 12)
Inequivalent atoms, fractional coordinates:
Na  0.174  0.000  0.108 x4
Nd  0.000  0.000  0.500 x2
Cl  0.035  0.000  0.226 x4
Cl  0.117  0.500  0.519 x4
Cl  0.218  0.000  0.827 x4



17.
## NaNd2Cl8 (GGA-PBE)

Data for an optimized crystal structure of NaNd2Cl8.

formation energy without anion corrections = -1.89 eV/atom
final energy = -4.22 eV/atom
size of the total moment = 1.9 Bohr magnetons per cell

abc: 8.603 12.988 5.362
angles: 90.00 97.24 90.00
Space group C2/m (No. 12)
Inequivalent atoms, fractional coordinates:
Na  0.000  0.000  0.000 x2
Nd  0.000  0.304  0.500 x4
Cl  0.000  0.238  0.000 x4
Cl  0.082  0.500  0.806 x4
Cl  0.199  0.128  0.558 x8



18.
## Na3Nd5Cl15 (GGA-PBE)

Data for an optimized crystal structure of Na3Nd5Cl15.

formation energy without anion corrections = -2.04 eV/atom
final energy = -4.45 eV/atom
size of the total moment = 0.0 Bohr magnetons per cell

abc: 9.031 9.077 15.867
angles: 79.76 79.98 82.50
Space group P-1 (No. 2)
Inequivalent atoms, fractional coordinates:
Na  0.027  0.087  0.297 x2
Na  0.359  0.306  0.315 x2
Na  0.424  0.484  0.897 x2
Nd  0.066  0.715  0.175 x2
Nd  0.140  0.480  0.623 x2
Nd  0.263  0.919  0.977 x2
Nd  0.334  0.687  0.423 x2
Nd  0.467  0.113  0.779 x2
Cl  0.035  0.185  0.990 x2
Cl  0.036  0.772  0.350 x2
Cl  0.080  0.394  0.245 x2
Cl  0.124  0.795  0.560 x2
Cl  0.161  0.018  0.808 x2
Cl  0.167  0.430  0.449 x2
Cl  0.233  0.972  0.153 x2
Cl  0.237  0.387  0.794 x2
Cl  0.287  0.597  0.042 x2
Cl  0.316  0.008  0.356 x2
Cl  0.367  0.216  0.613 x2
Cl  0.371  0.621  0.247 x2
Cl  0.434  0.172  0.954 x2
Cl  0.443  0.585  0.591 x2
Cl  0.470  0.790  0.837 x2



19.
## NaNdCl4 (GGA-PBE)

Data for an optimized crystal structure of NaNdCl4.

formation energy without anion corrections = -2.11 eV/atom
final energy = -4.35 eV/atom
energy above the lowest structure with this stoichiometry = 0.00 eV/f.u.
size of the total moment = 0.0 Bohr magnetons per cell

abc: 9.317 8.485 7.528
angles: 90.00 91.69 90.00
Space group P2_1/c (No. 14)
Inequivalent atoms, fractional coordinates:
Na  0.101  0.103  0.289 x4
Nd  0.369  0.625  0.239 x4
Cl  0.139  0.086  0.670 x4
Cl  0.176  0.678  0.521 x4
Cl  0.372  0.544  0.859 x4
Cl  0.430  0.172  0.960 x4



20.
## NaNdCl2 (GGA-PBE)

Data for an optimized crystal structure of NaNdCl2.

formation energy without anion corrections = -1.50 eV/atom
final energy = -3.94 eV/atom
size of the total moment = 0.0 Bohr magnetons per cell

abc: 3.9939 3.9939 25.8777
angles: 90.00 90.00 120.00
Space group R-3m (No. 166, hexagonal axes)
Inequivalent atoms, fractional coordinates:
Na  0.0000  0.0000  0.0000 x3
Nd  0.0000  0.0000  0.5000 x3
Cl  0.0000  0.0000  0.3946 x6



21.
## NaNdPbCl6 (GGA-PBE)

Data for an optimized crystal structure of NaNdPbCl6.

formation energy without anion corrections = -1.79 eV/atom
final energy = -4.11 eV/atom
size of the total moment = 0.0 Bohr magnetons per cell

abc: 7.1280 7.1280 12.6029
angles: 90.00 90.00 120.00
Space group P-31c (No. 163)
Inequivalent atoms, fractional coordinates:
Na  0.3333  0.6667  0.2500 x2
Nd  0.3333  0.6667  0.7500 x2
Pb  0.0000  0.0000  0.0000 x2
Cl  0.0087  0.3479  0.6287 x12